Entry 1:
Here is a crystal of Er5Mg relaxed with PBEsol from the Alexandria database. Energies are from SCAN.

Summary:
- Electronic total energy: -769.82 eV for the cell shown
- ΔE_f: 0.011 eV/atom
- Fermi-level density of states: 22.165 states/eV per cell

Cell lengths 5.9617, 5.9617, 16.2581 Å; angles 90.00, 90.00, 120.00 degrees
Space group R32 (No. 155, hexagonal axes)
Inequivalent atoms, fractional coordinates:
Er (0.0000, 0.0000, 0.1677) (multiplicity 6)
Er (0.0000, 0.6621, 0.0000) (multiplicity 9)
Mg (0.0000, 0.0000, 0.5000) (multiplicity 3)

Entry 2:
Here is a crystal of Er2Mg relaxed with PBEsol from the Alexandria database. Energies are from SCAN.

Summary:
- Electronic total energy: -211.50 eV for the cell shown
- ΔE_f: -0.032 eV/atom
- Fermi-level density of states: 7.543 states/eV per cell

Cell lengths 3.424, 3.424, 13.738 Å; angles 90.00, 90.00, 90.00 degrees
Space group I4/mmm (No. 139)
Inequivalent atoms, fractional coordinates:
Er (0.000, 0.000, 0.164) (multiplicity 4)
Mg (0.000, 0.000, 0.500) (multiplicity 2)

Entry 3:
Here is a crystal of ErMg2 relaxed with PBEsol from the Alexandria database. Energies are from SCAN.

Summary:
- Electronic total energy: -483.30 eV for the cell shown
- ΔE_f: -0.042 eV/atom
- Fermi-level density of states: 20.143 states/eV per cell

Cell lengths 8.404, 8.404, 8.404 Å; angles 90.00, 90.00, 90.00 degrees
Space group Fd-3m (No. 227, origin choice 2)
Inequivalent atoms, fractional coordinates:
Er (0.125, 0.125, 0.125) (multiplicity 8)
Mg (0.000, 0.000, 0.500) (multiplicity 16)

Entry 4:
Here is a crystal of Er3Mg relaxed with PBEsol from the Alexandria database. Energies are from SCAN.

Summary:
- Electronic total energy: -156.09 eV for the cell shown
- ΔE_f: -0.023 eV/atom
- Fermi-level density of states: 4.135 states/eV per cell

Cell lengths 3.456, 3.456, 9.175 Å; angles 90.00, 90.00, 90.00 degrees
Space group P4/mmm (No. 123)
Inequivalent atoms, fractional coordinates:
Er (0.000, 0.000, 0.000) (multiplicity 1)
Er (0.500, 0.500, 0.258) (multiplicity 2)
Mg (0.000, 0.000, 0.500) (multiplicity 1)

Entry 5:
Here is a crystal of ErMg2 relaxed with PBEsol from the Alexandria database. Energies are from SCAN.

Summary:
- Electronic total energy: -241.85 eV for the cell shown
- ΔE_f: -0.058 eV/atom
- Fermi-level density of states: 10.953 states/eV per cell

Cell lengths 5.9608, 5.9608, 9.6505 Å; angles 90.00, 90.00, 120.00 degrees
Space group P6_3/mmc (No. 194)
Inequivalent atoms, fractional coordinates:
Er (0.3333, 0.6667, 0.0636) (multiplicity 4)
Mg (0.0000, 0.0000, 0.0000) (multiplicity 2)
Mg (0.1711, 0.3423, 0.7500) (multiplicity 6)

Entry 6:
Here is a crystal of Er3Mg relaxed with PBEsol from the Alexandria database. Energies are from SCAN.

Summary:
- Electronic total energy: -311.94 eV for the cell shown
- ΔE_f: 0.006 eV/atom
- Fermi-level density of states: 9.976 states/eV per cell

Cell lengths 6.8370, 6.8370, 5.4092 Å; angles 90.00, 90.00, 120.00 degrees
Space group P6_3/mmc (No. 194)
Inequivalent atoms, fractional coordinates:
Er (0.1692, 0.3385, 0.2500) (multiplicity 6)
Mg (0.3333, 0.6667, 0.7500) (multiplicity 2)

Entry 7:
Here is a crystal of Er2MgTiO6 relaxed with PBEsol from the Alexandria database. Energies are from SCAN.

Summary:
- Electronic total energy: -391.06 eV for the cell shown
- Formation energy from raw total energies: -3646 meV/atom
- Fermi-level density of states: 0.000 states/eV per cell

Cell lengths 5.223, 5.556, 9.160 Å; angles 90.00, 124.34, 90.00 degrees
Space group P2_1/c (No. 14)
Inequivalent atoms, fractional coordinates:
Er (0.227, 0.070, 0.248) (multiplicity 4)
Mg (0.000, 0.000, 0.500) (multiplicity 2)
Ti (0.500, 0.000, 0.000) (multiplicity 2)
O (0.140, 0.187, 0.942) (multiplicity 4)
O (0.251, 0.702, 0.934) (multiplicity 4)
O (0.378, 0.047, 0.757) (multiplicity 4)

Entry 8:
Here is a crystal of ErMgPd2 relaxed with PBEsol from the Alexandria database. Energies are from SCAN.

Summary:
- Electronic total energy: -497.81 eV for the cell shown
- ΔE_f: -0.897 eV/atom
- Fermi-level density of states: 6.999 states/eV per cell

Cell lengths 6.611, 6.611, 6.611 Å; angles 90.00, 90.00, 90.00 degrees
Space group Fm-3m (No. 225)
Inequivalent atoms, fractional coordinates:
Er (0.000, 0.000, 0.000) (multiplicity 4)
Mg (0.000, 0.000, 0.500) (multiplicity 4)
Pd (0.250, 0.250, 0.250) (multiplicity 8)